# 1
First-principles (GGA-PBE) data for a relaxed LiCa3Pd3 crystal, as listed in Alexandria.

abc: 5.722 5.722 14.117
angles: 90.00 90.00 137.13
Fractional positions:
1 Li 0.000 0.000 0.000
2 Li 0.000 0.000 0.500
3 Ca 0.015 0.985 0.750
4 Ca 0.293 0.707 0.605
5 Ca 0.293 0.707 0.895
6 Ca 0.707 0.293 0.105
7 Ca 0.707 0.293 0.395
8 Ca 0.985 0.015 0.250
9 Pd 0.275 0.725 0.250
10 Pd 0.420 0.580 0.086
11 Pd 0.420 0.580 0.414
12 Pd 0.580 0.420 0.586
13 Pd 0.580 0.420 0.914
14 Pd 0.725 0.275 0.750

The density of states at the Fermi level comes out at 0.484 states/eV/atom. The total energy is -3.99 eV/atom. The calculation puts the calculated formation energy at -0.634 eV/atom. As for the mass density: 4.7 Mg/m³.



# 2
First-principles (GGA-PBE) data for a relaxed LiCaPd3 crystal, as listed in Alexandria.

abc: 5.007 5.007 5.007
angles: 90.00 90.00 90.00
Fractional positions:
1 Li 0.000 0.000 0.000
2 Ca 0.500 0.500 0.500
3 Pd 0.000 0.500 0.500
4 Pd 0.500 0.000 0.500
5 Pd 0.500 0.500 0.000

The density of states at the Fermi level comes out at 0.379 states/eV/atom. The total energy is -3.40 eV/atom. The polymorph energy (0 for the lowest one) is 431 kJ/mol of formula units. The calculation puts the calculated formation energy at 0.499 eV/atom. As for the mass density: 4.8 Mg/m³.



# 3
First-principles (GGA-PBE) data for a relaxed Li6CaPd4 crystal, as listed in Alexandria.

abc: 6.751 6.751 6.751
angles: 122.51 122.51 85.70
Fractional positions:
1 Li 0.000 0.500 0.500
2 Li 0.004 0.004 0.612
3 Li 0.391 0.391 0.388
4 Li 0.500 0.000 0.500
5 Li 0.609 0.996 0.000
6 Li 0.996 0.609 0.000
7 Ca 0.500 0.500 0.000
8 Pd 0.094 0.094 0.344
9 Pd 0.250 0.906 0.000
10 Pd 0.750 0.750 0.656
11 Pd 0.906 0.250 0.000

The density of states at the Fermi level comes out at 0.295 states/eV/atom. The total energy is -3.38 eV/atom. The calculation puts the calculated formation energy at -0.268 eV/atom. As for the mass density: 4.0 Mg/m³.



# 4
First-principles (GGA-PBE) data for a relaxed Li12CaPd6 crystal, as listed in Alexandria.

abc: 7.023 7.023 7.023
angles: 94.69 94.69 94.69
Fractional positions:
1 Li 0.000 0.376 0.624
2 Li 0.000 0.624 0.376
3 Li 0.020 0.020 0.308
4 Li 0.020 0.308 0.020
5 Li 0.308 0.020 0.020
6 Li 0.376 0.000 0.624
7 Li 0.376 0.624 0.000
8 Li 0.624 0.000 0.376
9 Li 0.624 0.376 0.000
10 Li 0.692 0.980 0.980
11 Li 0.980 0.692 0.980
12 Li 0.980 0.980 0.692
13 Ca 0.500 0.500 0.500
14 Pd 0.203 0.693 0.693
15 Pd 0.307 0.307 0.797
16 Pd 0.307 0.797 0.307
17 Pd 0.693 0.203 0.693
18 Pd 0.693 0.693 0.203
19 Pd 0.797 0.307 0.307

The density of states at the Fermi level comes out at 0.343 states/eV/atom. The total energy is -3.21 eV/atom. The calculation puts the calculated formation energy at -0.255 eV/atom. As for the mass density: 3.7 Mg/m³.



# 5
First-principles (GGA-PBE) data for a relaxed LiCa4Pd crystal, as listed in Alexandria.

abc: 7.302 7.302 7.544
angles: 90.00 90.06 90.00
Fractional positions:
1 Li 0.000 0.000 0.000
2 Li 0.500 0.500 0.000
3 Ca 0.250 0.250 0.270
4 Ca 0.250 0.250 0.730
5 Ca 0.250 0.750 0.270
6 Ca 0.250 0.750 0.730
7 Ca 0.750 0.250 0.270
8 Ca 0.750 0.250 0.730
9 Ca 0.750 0.750 0.270
10 Ca 0.750 0.750 0.730
11 Pd 0.000 0.500 0.500
12 Pd 0.500 0.000 0.500

The density of states at the Fermi level comes out at 0.811 states/eV/atom. The total energy is -2.64 eV/atom. The polymorph energy (0 for the lowest one) is 73 kJ/mol of formula units. The calculation puts the calculated formation energy at -0.124 eV/atom. As for the mass density: 2.3 Mg/m³.



# 6
First-principles (GGA-PBE) data for a relaxed Li8CaPd4 crystal, as listed in Alexandria.

abc: 6.833 6.833 6.833
angles: 99.47 99.47 132.13
Fractional positions:
1 Li 0.000 0.226 0.226
2 Li 0.000 0.774 0.774
3 Li 0.159 0.500 0.659
4 Li 0.226 0.000 0.226
5 Li 0.500 0.159 0.659
6 Li 0.500 0.841 0.341
7 Li 0.774 0.000 0.774
8 Li 0.841 0.500 0.341
9 Ca 0.500 0.500 0.000
10 Pd 0.000 0.000 0.500
11 Pd 0.000 0.500 0.000
12 Pd 0.500 0.000 0.000
13 Pd 0.500 0.500 0.500

The density of states at the Fermi level comes out at 0.323 states/eV/atom. The total energy is -3.31 eV/atom. The calculation puts the calculated formation energy at -0.377 eV/atom. As for the mass density: 4.0 Mg/m³.



# 7
First-principles (GGA-PBE) data for a relaxed Li2Ca2Pd15 crystal, as listed in Alexandria.

abc: 6.964 6.964 6.964
angles: 82.28 82.28 82.28
Fractional positions:
1 Li 0.097 0.097 0.097
2 Li 0.903 0.903 0.903
3 Ca 0.346 0.346 0.346
4 Ca 0.654 0.654 0.654
5 Pd 0.000 0.000 0.500
6 Pd 0.000 0.310 0.690
7 Pd 0.000 0.500 0.000
8 Pd 0.000 0.690 0.310
9 Pd 0.159 0.658 0.658
10 Pd 0.310 0.000 0.690
11 Pd 0.310 0.690 0.000
12 Pd 0.342 0.342 0.841
13 Pd 0.342 0.841 0.342
14 Pd 0.500 0.000 0.000
15 Pd 0.658 0.159 0.658
16 Pd 0.658 0.658 0.159
17 Pd 0.690 0.000 0.310
18 Pd 0.690 0.310 0.000
19 Pd 0.841 0.342 0.342

The density of states at the Fermi level comes out at 0.940 states/eV/atom. The total energy is -4.83 eV/atom. The calculation puts the calculated formation energy at -0.321 eV/atom. As for the mass density: 8.5 Mg/m³.



# 8
First-principles (GGA-PBE) data for a relaxed LiCaPmPd crystal, as listed in Alexandria.

abc: 7.259 7.259 7.259
angles: 90.00 90.00 90.00
Fractional positions:
1 Li 0.000 0.000 0.000
2 Li 0.000 0.500 0.500
3 Li 0.500 0.000 0.500
4 Li 0.500 0.500 0.000
5 Ca 0.250 0.250 0.750
6 Ca 0.250 0.750 0.250
7 Ca 0.750 0.250 0.250
8 Ca 0.750 0.750 0.750
9 Pm 0.250 0.250 0.250
10 Pm 0.250 0.750 0.750
11 Pm 0.750 0.250 0.750
12 Pm 0.750 0.750 0.250
13 Pd 0.000 0.000 0.500
14 Pd 0.000 0.500 0.000
15 Pd 0.500 0.000 0.000
16 Pd 0.500 0.500 0.500

The density of states at the Fermi level comes out at 1.145 states/eV/atom. The total energy is -3.80 eV/atom. The calculation puts the calculated formation energy at -0.339 eV/atom. As for the mass density: 5.2 Mg/m³.



Among the records above, which one has the highest mass density?
Li2Ca2Pd15



Number 6 is which compound?
Li8CaPd4